The following is a PBE-GGA calculation of an optimized crystal structure of Eu6Hg, from the Alexandria database.

* space group: Im-3m (229)
* volume: 495.60 Å³/f.u.
* DOS(E_F): 12.50 states/eV per cell
* total moment: 6.937 μB per atom
* E_tot: -7.823 eV per atom
* energy relative to the elements: 1.0266 eV/atom

Cell lengths 8.6348, 8.6348, 8.6348 Å; angles 109.47, 109.47, 109.47 degrees
Closest atoms and distances in Å follow each position.
Element x y z (fractional)
Eu (0.2500, 0.5000, 0.7500)  4 Eu 3.53
Eu (0.2500, 0.7500, 0.5000)  4 Eu 3.53
Eu (0.5000, 0.2500, 0.7500)  4 Eu 3.53
Eu (0.5000, 0.7500, 0.2500)  4 Eu 3.53
Eu (0.7500, 0.2500, 0.5000)  4 Eu 3.53
Eu (0.7500, 0.5000, 0.2500)  4 Eu 3.53
Hg (0.0000, 0.0000, 0.0000)  24 Eu 5.57

***

The following is a PBE-GGA calculation of an optimized crystal structure of EuHg2, from the Alexandria database.

* space group: I4/mmm (139)
* volume: 82.49 Å³/f.u.
* DOS(E_F): 7.37 states/eV per cell
* total moment: 2.355 μB per atom
* E_tot: -4.094 eV per atom
* energy relative to the elements: -0.4682 eV/atom

Cell lengths 5.8016, 5.8016, 5.8016 Å; angles 139.23, 139.23, 59.03 degrees
Closest atoms and distances in Å follow each position.
Element x y z (fractional)
Eu (0.0000, 0.0000, 0.0000)  10 Hg 3.33-3.34
Hg (0.3298, 0.3298, 0.0000)  5 Hg 3.28-3.44, 5 Eu 3.33-3.34
Hg (0.6702, 0.6702, 0.0000)  5 Hg 3.28-3.44, 5 Eu 3.33-3.34

***

The following is a PBE-GGA calculation of an optimized crystal structure of EuHg3, from the Alexandria database.

* space group: Pm-3m (221)
* volume: 109.18 Å³/f.u.
* DOS(E_F): 9.44 states/eV per cell
* total moment: 1.846 μB per atom
* E_tot: -3.191 eV per atom
* energy relative to the elements: -0.3962 eV/atom

Cell lengths 4.7794, 4.7794, 4.7794 Å; angles 90.00, 90.00, 90.00 degrees
Closest atoms and distances in Å follow each position.
Element x y z (fractional)
Eu (0.0000, 0.0000, 0.0000)  12 Hg 3.38
Hg (0.0000, 0.5000, 0.5000)  8 Hg 3.38, 4 Eu 3.38
Hg (0.5000, 0.0000, 0.5000)  8 Hg 3.38, 4 Eu 3.38
Hg (0.5000, 0.5000, 0.0000)  8 Hg 3.38, 4 Eu 3.38

***

The following is a PBE-GGA calculation of an optimized crystal structure of Eu2HoHg, from the Alexandria database.

* space group: Fm-3m (225)
* volume: 125.75 Å³/f.u.
* DOS(E_F): 3.79 states/eV per cell
* total moment: 3.639 μB per atom
* E_tot: -6.387 eV per atom
* energy relative to the elements: -0.0303 eV/atom

Cell lengths 5.6235, 5.6235, 5.6235 Å; angles 60.00, 60.00, 60.00 degrees
Closest atoms and distances in Å follow each position.
Element x y z (fractional)
Eu (0.2500, 0.2500, 0.2500)  4 Hg 3.44, 4 Ho 3.44
Eu (0.7500, 0.7500, 0.7500)  4 Hg 3.44, 4 Ho 3.44
Ho (0.0000, 0.0000, 0.0000)  8 Eu 3.44
Hg (0.5000, 0.5000, 0.5000)  8 Eu 3.44